Computed, not measured: an optimized crystal structure of Pm3Sm5Ho3 at the GGA-PBE level of DFT.

It has space group P-62m (No. 189), with a = 9.7319 Å, b = 9.7319 Å, c = 5.5424 Å, α = 90.00°, β = 90.00° and γ = 120.00°. The asymmetric unit holds Pm at (0.0000, 0.4282, 0.0000), Sm at (0.0000, 0.2686, 0.5000), Sm at (0.3333, 0.6667, 0.5000) and Ho at (0.0000, 0.6312, 0.5000).

The energy of formation from the pure elements comes out at 0.760 eV per atom. The size of the total moment is 0.00 μB per formula unit. The calculation puts the distance to the lowest polymorph of the same formula at 4.72 eV per formula unit. Its density of states at the Fermi level is 18.8 states/eV/f.u. For the electronic total energy, the calculation gives -3.929 eV/atom. The calculated volume is 455 Å³ per cell.


Computed, not measured: an optimized crystal structure of Pm4SmHo at the GGA-PBE level of DFT.

It has space group F-43m (No. 216), with a = 9.432 Å, b = 9.432 Å, c = 9.432 Å, α = 90.00°, β = 90.00° and γ = 90.00°. The asymmetric unit holds Pm at (0.125, 0.125, 0.125), Sm at (0.250, 0.250, 0.750) and Ho at (0.000, 0.000, 0.500).

The energy of formation from the pure elements comes out at 0.260 eV per atom. The size of the total moment is 0.00 μB per formula unit. The calculation puts the distance to the lowest polymorph of the same formula at 1.18 eV per formula unit. Its density of states at the Fermi level is 9.7 states/eV/f.u. For the electronic total energy, the calculation gives -4.456 eV/atom. The calculated volume is 839 Å³ per cell.


Question: Among the records above, which one has the highest calculated volume?
Answer: Pm4SmHo